Compound: Pm4S5I
Source: Alexandria
Functional: PBE
Structure: relaxed

a b c (Å): 6.9306 8.4840 10.5975
angles (deg): 90.00 90.00 90.00
With the nearest neighbours (Å) after each atom.
Sites, in units of the cell vectors:
S: 0.7541 0.2570 0.3057  3 Pm 2.66-2.81
S: 0.7541 0.2570 0.6943  3 Pm 2.66-2.81
S: 0.7744 0.5000 0.0000  4 Pm 2.76-2.77
S: 0.2256 0.0000 0.5000  4 Pm 2.76-2.77
S: 0.2459 0.2430 0.8057  3 Pm 2.66-2.81
S: 0.2459 0.7570 0.1943  3 Pm 2.66-2.81
S: 0.7541 0.7430 0.3057  3 Pm 2.66-2.81
S: 0.2459 0.2430 0.1943  3 Pm 2.66-2.81
S: 0.2459 0.7570 0.8057  3 Pm 2.66-2.81
S: 0.7541 0.7430 0.6943  3 Pm 2.66-2.81
I: 0.1899 0.5000 0.5000  4 Pm 3.22-3.29
I: 0.8101 0.0000 0.0000  4 Pm 3.22-3.29
Pm: 0.0052 0.0000 0.7168  5 S 2.76-2.81
Pm: 0.4873 0.7273 0.0000  3 S 2.66-2.77
Pm: 0.9948 0.5000 0.7832  5 S 2.76-2.81
Pm: 0.5127 0.7727 0.5000  3 S 2.66-2.77
Pm: 0.4873 0.2727 0.0000  3 S 2.66-2.77
Pm: 0.9948 0.5000 0.2168  5 S 2.76-2.81
Pm: 0.5127 0.2273 0.5000  3 S 2.66-2.77
Pm: 0.0052 0.0000 0.2832  5 S 2.76-2.81

Output
- Symmetry: Pmmn, No. 59
- Electronic total energy: -5.83 eV/atom
- Formation energy without anion corrections: -17.14 eV/f.u.